# Cu2As

A relaxed Cu2As crystal (GGA-PBEsol, Alexandria via LeMat-Bulk).

a = 3.6265 Å, b = 3.7208 Å, c = 6.1848 Å
α = 90.00°, β = 107.05°, γ = 90.00°
With the nearest neighbours (Å) after each atom.
Sites, in units of the cell vectors:
As 0.1008 0.2500 0.2017  8 Cu 2.52-2.60
As 0.8992 0.7500 0.7983  8 Cu 2.52-2.60
Cu 0.4151 0.2500 0.8301  6 As 2.60-2.85, 6 Cu 2.62-2.74
Cu 0.5849 0.7500 0.1699  6 As 2.60-2.85, 6 Cu 2.62-2.74
Cu 0.7550 0.2500 0.5101  4 As 2.52-2.57, 8 Cu 2.60-2.74
Cu 0.2450 0.7500 0.4899  4 As 2.52-2.57, 8 Cu 2.60-2.74

Output
crystal system = orthorhombic
electronic total energy = -4.521 eV/atom
space group = Cmcm
formation energy from the elements = 0.2 eV per formula unit


# Sn3IO

A relaxed Sn3IO crystal (GGA-PBEsol, Alexandria via LeMat-Bulk).

a = 5.7960 Å, b = 5.7960 Å, c = 5.7960 Å
α = 90.00°, β = 90.00°, γ = 90.00°
With the nearest neighbours (Å) after each atom.
Sites, in units of the cell vectors:
I 0.0000 0.0000 0.0000  6 Sn 2.90
Sn 0.0000 0.5000 0.0000  2 I 2.90
Sn 0.0000 0.0000 0.5000  2 I 2.90
Sn 0.5000 0.0000 0.0000  2 I 2.90
O 0.5000 0.5000 0.5000  12 Sn 4.10

Output
crystal system = cubic
electronic total energy = -2.645 eV/atom
space group = Pm-3m
E_form (uncorrected) = 1314 meV per atom


# NaHBr2

A relaxed NaHBr2 crystal (GGA-PBEsol, Alexandria via LeMat-Bulk).

a = 4.4879 Å, b = 4.4879 Å, c = 6.7904 Å
α = 70.70°, β = 70.70°, γ = 60.00°
With the nearest neighbours (Å) after each atom.
Sites, in units of the cell vectors:
Na 0.5000 0.5000 0.5000  6 Br 2.96
Br 0.9098 0.9098 0.2706  1 H 1.70
Br 0.0902 0.0902 0.7294  1 H 1.70
H 0.0000 0.0000 0.0000  2 Br 1.70

Output
crystal system = trigonal
electronic total energy = -2.993 eV/atom
space group = R-3m
E above lowest polymorph = 0.00 eV/f.u.


# Hg7P4Br6

A relaxed Hg7P4Br6 crystal (GGA-PBEsol, Alexandria via LeMat-Bulk).

a = 6.0373 Å, b = 7.5886 Å, c = 19.7641 Å
α = 90.00°, β = 90.00°, γ = 104.60°
With the nearest neighbours (Å) after each atom.
Sites, in units of the cell vectors:
Br 0.4019 0.7818 0.9798  1 Hg 2.59
Br 0.5981 0.7182 0.4798  1 Hg 2.59
Br 0.5981 0.2182 0.0202  1 Hg 2.59
Br 0.4019 0.2818 0.5202  1 Hg 2.59
Br 0.3623 0.7027 0.7881  4 Hg 2.88-3.21
Br 0.6377 0.7973 0.2881  4 Hg 2.88-3.21
Br 0.6377 0.2973 0.2119  4 Hg 2.88-3.21
Br 0.3623 0.2027 0.7119  4 Hg 2.88-3.21
Br 0.8058 0.5679 0.8889  2 Hg 2.79-2.90
Br 0.1942 0.9321 0.3889  2 Hg 2.79-2.90
Br 0.1942 0.4321 0.1111  2 Hg 2.79-2.90
Br 0.8058 0.0679 0.6111  2 Hg 2.79-2.90
Hg 0.0000 0.0000 0.0000  2 P 2.43
Hg 0.0000 0.5000 0.5000  2 P 2.43
Hg 0.4980 0.0757 0.8646  2 P 2.44-2.45
Hg 0.5020 0.4243 0.3646  2 P 2.44-2.45
Hg 0.5020 0.9243 0.1354  2 P 2.44-2.45
Hg 0.4980 0.5757 0.6354  2 P 2.44-2.45
Hg 0.9082 0.7992 0.7706  2 P 2.42-2.44
Hg 0.0918 0.7008 0.2706  2 P 2.42-2.44
Hg 0.0918 0.2008 0.2294  2 P 2.42-2.44
Hg 0.9082 0.2992 0.7294  2 P 2.42-2.44
Hg 0.2291 0.4922 0.9094  1 P 2.42, 1 Br 2.59
Hg 0.7709 0.0078 0.4094  1 P 2.42, 1 Br 2.59
Hg 0.7709 0.5078 0.0906  1 P 2.42, 1 Br 2.59
Hg 0.2291 0.9922 0.5906  1 P 2.42, 1 Br 2.59
P 0.1497 0.1642 0.8975  1 P 2.19, 2 Hg 2.42-2.43
P 0.8503 0.3358 0.3975  1 P 2.19, 2 Hg 2.42-2.43
P 0.8503 0.8358 0.1025  1 P 2.19, 2 Hg 2.42-2.43
P 0.1497 0.6642 0.6025  1 P 2.19, 2 Hg 2.42-2.43
P 0.8785 0.0822 0.8219  1 P 2.19, 3 Hg 2.42-2.44
P 0.1215 0.4178 0.3219  1 P 2.19, 3 Hg 2.42-2.44
P 0.1215 0.9178 0.1781  1 P 2.19, 3 Hg 2.42-2.44
P 0.8785 0.5822 0.6781  1 P 2.19, 3 Hg 2.42-2.44

Output
crystal system = monoclinic
electronic total energy = -2.533 eV/atom
space group = P2_1/c
E_form (uncorrected) = -277 meV per atom


# Ag3Te2

A relaxed Ag3Te2 crystal (GGA-PBEsol, Alexandria via LeMat-Bulk).

a = 4.2542 Å, b = 4.2542 Å, c = 7.4441 Å
α = 90.00°, β = 90.00°, γ = 120.00°
With the nearest neighbours (Å) after each atom.
Sites, in units of the cell vectors:
Te 0.3333 0.6667 0.7872  7 Ag 2.84-2.92
Te 0.6667 0.3333 0.2128  7 Ag 2.84-2.92
Ag 0.0000 0.0000 0.0000  6 Te 2.92
Ag 0.3333 0.6667 0.4056  3 Ag 2.83, 4 Te 2.84
Ag 0.6667 0.3333 0.5944  3 Ag 2.83, 4 Te 2.84

Output
crystal system = trigonal
electronic total energy = -3.395 eV/atom
space group = P-3m1
E_form (uncorrected) = 2 meV per atom


# Zr3Pt

A relaxed Zr3Pt crystal (GGA-PBEsol, Alexandria via LeMat-Bulk).

a = 5.1020 Å, b = 5.1020 Å, c = 5.1020 Å
α = 90.00°, β = 90.00°, γ = 90.00°
With the nearest neighbours (Å) after each atom.
Sites, in units of the cell vectors:
Pt 0.0000 0.0000 0.0000  6 Zr 2.55
Zr 0.0000 0.0000 0.5000  2 Pt 2.55
Zr 0.0000 0.5000 0.0000  2 Pt 2.55
Zr 0.5000 0.0000 0.0000  2 Pt 2.55

Output
crystal system = cubic
electronic total energy = -7.734 eV/atom
space group = Pm-3m
formation energy from the elements = 3.3 eV per formula unit


# Si4SnO10

A relaxed Si4SnO10 crystal (GGA-PBEsol, Alexandria via LeMat-Bulk).

a = 7.5099 Å, b = 7.5099 Å, c = 15.3747 Å
α = 90.00°, β = 90.00°, γ = 90.00°
With the nearest neighbours (Å) after each atom.
Sites, in units of the cell vectors:
Si 0.1738 0.2606 0.6487  4 O 1.62-1.63
Si 0.8262 0.7394 0.6487  4 O 1.62-1.63
Si 0.2606 0.1738 0.8513  4 O 1.62-1.63
Si 0.7606 0.3262 0.6487  4 O 1.62-1.63
Si 0.2394 0.6738 0.6487  4 O 1.62-1.63
Si 0.3262 0.7606 0.8513  4 O 1.62-1.63
Si 0.6738 0.2394 0.8513  4 O 1.62-1.63
Si 0.7394 0.8262 0.8513  4 O 1.62-1.63
Si 0.3262 0.2394 0.3513  4 O 1.62-1.63
Si 0.6738 0.7606 0.3513  4 O 1.62-1.63
Si 0.2394 0.3262 0.1487  4 O 1.62-1.63
Si 0.7394 0.1738 0.3513  4 O 1.62-1.63
Si 0.2606 0.8262 0.3513  4 O 1.62-1.63
Si 0.1738 0.7394 0.1487  4 O 1.62-1.63
Si 0.8262 0.2606 0.1487  4 O 1.62-1.63
Si 0.7606 0.6738 0.1487  4 O 1.62-1.63
Sn 0.5000 0.0000 0.5871  4 O 1.96
Sn 0.0000 0.5000 0.9129  4 O 1.96
Sn 0.0000 0.5000 0.4129  4 O 1.96
Sn 0.5000 0.0000 0.0871  4 O 1.96
O 0.2652 0.1132 0.5864  1 Si 1.62
O 0.7348 0.8868 0.5864  1 Si 1.62
O 0.1132 0.2652 0.9136  1 Si 1.62
O 0.6132 0.2348 0.5864  1 Si 1.62
O 0.3869 0.7652 0.5864  1 Si 1.62
O 0.2348 0.6132 0.9136  1 Si 1.62
O 0.7652 0.3869 0.9136  1 Si 1.62
O 0.8868 0.7348 0.9136  1 Si 1.62
O 0.2348 0.3869 0.4136  1 Si 1.62
O 0.7652 0.6132 0.4136  1 Si 1.62
O 0.3869 0.2348 0.0864  1 Si 1.62
O 0.8868 0.2652 0.4136  1 Si 1.62
O 0.1132 0.7348 0.4136  1 Si 1.62
O 0.2652 0.8868 0.0864  1 Si 1.62
O 0.7348 0.1132 0.0864  1 Si 1.62
O 0.2560 0.0387 0.3707  2 Si 1.62-1.63
O 0.6132 0.7652 0.0864  1 Si 1.62
O 0.7560 0.5387 0.6293  2 Si 1.62-1.63
O 0.4613 0.2440 0.8707  2 Si 1.62-1.63
O 0.9613 0.2560 0.6293  2 Si 1.62-1.63
O 0.0387 0.7440 0.6293  2 Si 1.62-1.63
O 0.2560 0.9613 0.8707  2 Si 1.62-1.63
O 0.7440 0.0387 0.8707  2 Si 1.62-1.63
O 0.5387 0.7560 0.8707  2 Si 1.62-1.63
O 0.7130 0.7130 0.2500  2 Si 1.62
O 0.7870 0.2130 0.2500  2 Si 1.62
O 0.2130 0.7870 0.2500  2 Si 1.62
O 0.2870 0.2870 0.2500  2 Si 1.62
O 0.7870 0.7870 0.7500  2 Si 1.62
O 0.7130 0.2870 0.7500  2 Si 1.62
O 0.2870 0.7130 0.7500  2 Si 1.62
O 0.2130 0.2130 0.7500  2 Si 1.62
O 0.9613 0.7440 0.1293  2 Si 1.62-1.63
O 0.7560 0.4613 0.1293  2 Si 1.62-1.63
O 0.2440 0.5387 0.1293  2 Si 1.62-1.63
O 0.4613 0.7560 0.3707  2 Si 1.62-1.63
O 0.5387 0.2440 0.3707  2 Si 1.62-1.63
O 0.0387 0.2560 0.1293  2 Si 1.62-1.63
O 0.7440 0.9613 0.3707  2 Si 1.62-1.63
O 0.2440 0.4613 0.6293  2 Si 1.62-1.63

Output
crystal system = tetragonal
electronic total energy = -7.701 eV/atom
space group = P4/ncc
E_form (uncorrected) = -2385 meV per atom


# Li2CoSnO4

A relaxed Li2CoSnO4 crystal (GGA-PBEsol, Alexandria via LeMat-Bulk).

a = 4.1517 Å, b = 4.1517 Å, c = 5.3146 Å
α = 112.99°, β = 112.99°, γ = 90.00°
With the nearest neighbours (Å) after each atom.
Sites, in units of the cell vectors:
Co 0.7500 0.2500 0.5000  6 O 2.08-2.16
Sn 0.5000 0.5000 0.0000  6 O 2.05-2.08
O 0.9939 0.4939 0.9878  2 Sn 2.08, 3 Li 2.08-2.27, 1 Co 2.16
O 0.5061 0.0061 0.0122  2 Sn 2.08, 3 Li 2.08-2.27, 1 Co 2.16
O 0.2689 0.2689 0.5377  1 Sn 2.05, 2 Li 2.08, 2 Co 2.08
O 0.7311 0.7311 0.4623  1 Sn 2.05, 2 Co 2.08, 2 Li 2.08
Li 0.2500 0.7500 0.5000  6 O 2.08-2.27
Li 0.0000 0.0000 0.0000  4 O 2.08

Output
crystal system = tetragonal
electronic total energy = -6.149 eV/atom
space group = I-4m2
E above lowest polymorph = 0.05 eV/f.u.
E_form (uncorrected) = -1533 meV per atom


# ZnReBr2

A relaxed ZnReBr2 crystal (GGA-PBEsol, Alexandria via LeMat-Bulk).

a = 3.1055 Å, b = 3.1055 Å, c = 8.3541 Å
α = 90.00°, β = 90.00°, γ = 90.00°
With the nearest neighbours (Å) after each atom.
Sites, in units of the cell vectors:
Br 0.0000 0.0000 0.8120  4 Re 2.70
Br 0.0000 0.0000 0.1880  4 Re 2.70
Re 0.5000 0.5000 0.0000  8 Br 2.70
Zn 0.5000 0.5000 0.5000  4 Zn 3.11, 8 Br 3.41

Output
crystal system = tetragonal
electronic total energy = -3.762 eV/atom
space group = P4/mmm
E above lowest polymorph = 2.31 eV/f.u.
E_form (uncorrected) = 902 meV per atom


# SrSi2Rh2

A relaxed SrSi2Rh2 crystal (GGA-PBEsol, Alexandria via LeMat-Bulk).

a = 4.0992 Å, b = 4.0992 Å, c = 5.9330 Å
α = 110.21°, β = 110.21°, γ = 90.00°
With the nearest neighbours (Å) after each atom.
Sites, in units of the cell vectors:
Sr 0.0000 0.0000 0.0000  8 Si 3.21, 8 Rh 3.30
Si 0.3670 0.3670 0.7341  4 Rh 2.38
Si 0.6330 0.6330 0.2659  4 Rh 2.38
Rh 0.2500 0.7500 0.5000  4 Si 2.38
Rh 0.7500 0.2500 0.5000  4 Si 2.38

Output
crystal system = tetragonal
electronic total energy = -6.873 eV/atom
space group = I4/mmm
E_form (uncorrected) = -951 meV per atom


In g/cm³, the ρ values for the records above are, in order, 8.41 4.26 2.79 7.61 8.24 5.86 3.00 5.56 8.48 6.67.